# Sr3HgMo | Alexandria via LeMat-Bulk | PBE-GGA | relaxed
data_Sr3HgMo
_cell_length_a 5.772
_cell_length_b 5.772
_cell_length_c 5.772
_cell_angle_alpha 90.00
_cell_angle_beta 90.00
_cell_angle_gamma 90.00
_space_group_name_H-M_alt 'P m -3 m'
_space_group_IT_number 221
_space_group_name_Hall '-P 4 2 3'
loop_
_atom_site_label
_atom_site_type_symbol
_atom_site_fract_x
_atom_site_fract_y
_atom_site_fract_z
Sr1 Sr 0.000 0.000 0.500
Hg1 Hg 0.500 0.500 0.500
Mo1 Mo 0.000 0.000 0.000
# Total moment ... 0.00 μB/f.u.
# N(E_F) ... 0.42 states/eV/atom
# Calculated volume ... 38.459 Å³/atom
# E ... -2.564 eV per atom
# Calculated formation energy ... 671 meV per atom

---

# SrHg2Mo | Alexandria via LeMat-Bulk | PBE-GGA | relaxed
data_SrHg2Mo
_cell_length_a 3.181
_cell_length_b 3.181
_cell_length_c 8.917
_cell_angle_alpha 90.00
_cell_angle_beta 90.00
_cell_angle_gamma 90.00
_space_group_name_H-M_alt 'P 4/m m m'
_space_group_IT_number 123
_space_group_name_Hall '-P 4 2'
loop_
_atom_site_label
_atom_site_type_symbol
_atom_site_fract_x
_atom_site_fract_y
_atom_site_fract_z
Sr1 Sr 0.000 0.000 0.000
Hg1 Hg 0.500 0.500 0.279
Mo1 Mo 0.000 0.000 0.500
# Total moment ... 0.00 μB/f.u.
# N(E_F) ... 0.75 states/eV/atom
# Calculated volume ... 22.558 Å³/atom
# E ... -2.888 eV per atom
# Calculated formation energy ... 391 meV per atom

---

# SrHg2Mo | Alexandria via LeMat-Bulk | PBE-GGA | relaxed
data_SrHg2Mo
_cell_length_a 3.3146
_cell_length_b 3.3146
_cell_length_c 29.8098
_cell_angle_alpha 90.00
_cell_angle_beta 90.00
_cell_angle_gamma 120.00
_space_group_name_H-M_alt 'R -3 m'
_space_group_IT_number 166
_space_group_name_Hall '-R 3 2"'
loop_
_atom_site_label
_atom_site_type_symbol
_atom_site_fract_x
_atom_site_fract_y
_atom_site_fract_z
Sr1 Sr 0.0000 0.0000 0.0000
Hg1 Hg 0.0000 0.0000 0.2417
Mo1 Mo 0.0000 0.0000 0.5000
# Total moment ... 0.00 μB/f.u.
# N(E_F) ... 1.04 states/eV/atom
# Calculated volume ... 23.635 Å³/atom
# E ... -2.675 eV per atom
# Calculated formation energy ... 604 meV per atom

---

# SrHg2Mo | Alexandria via LeMat-Bulk | PBE-GGA | relaxed
data_SrHg2Mo
_cell_length_a 3.197
_cell_length_b 4.099
_cell_length_c 7.134
_cell_angle_alpha 90.00
_cell_angle_beta 90.00
_cell_angle_gamma 90.00
_space_group_name_H-M_alt 'P m m m'
_space_group_IT_number 47
loop_
_space_group_symop_operation_xyz
'x,y,z'
'-x,-y,-z'
'-x,-y,z'
'x,y,-z'
'x,-y,-z'
'-x,y,z'
'-x,y,-z'
'x,-y,z'
loop_
_atom_site_label
_atom_site_type_symbol
_atom_site_fract_x
_atom_site_fract_y
_atom_site_fract_z
Sr1 Sr 0.000 0.000 0.000
Hg1 Hg 0.500 0.500 0.294
Mo1 Mo 0.000 0.000 0.500
# Total moment ... 0.89 μB/f.u.
# N(E_F) ... 0.69 states/eV/atom
# Calculated volume ... 23.368 Å³/atom
# E ... -2.932 eV per atom
# Calculated formation energy ... 347 meV per atom

---

# Sr4HgMo | Alexandria via LeMat-Bulk | PBE-GGA | relaxed
data_Sr4HgMo
_cell_length_a 9.979
_cell_length_b 9.979
_cell_length_c 9.979
_cell_angle_alpha 90.00
_cell_angle_beta 90.00
_cell_angle_gamma 90.00
_space_group_name_H-M_alt 'F -4 3 m'
_space_group_IT_number 216
_space_group_name_Hall 'F -4 2 3'
loop_
_atom_site_label
_atom_site_type_symbol
_atom_site_fract_x
_atom_site_fract_y
_atom_site_fract_z
Sr1 Sr 0.125 0.125 0.125
Hg1 Hg 0.250 0.250 0.750
Mo1 Mo 0.000 0.000 0.500
# Total moment ... 4.26 μB/f.u.
# N(E_F) ... 1.07 states/eV/atom
# Calculated volume ... 41.408 Å³/atom
# E ... -1.994 eV per atom
# Calculated formation energy ... 983 meV per atom

---

# SrHg2Mo | Alexandria via LeMat-Bulk | PBE-GGA | relaxed
data_SrHg2Mo
_cell_length_a 3.808
_cell_length_b 3.808
_cell_length_c 7.163
_cell_angle_alpha 90.00
_cell_angle_beta 90.00
_cell_angle_gamma 90.00
_space_group_name_H-M_alt 'P 4 m m'
_space_group_IT_number 99
loop_
_space_group_symop_operation_xyz
'x,y,z'
'-y,x,z'
'-x,-y,z'
'y,-x,z'
'-x,y,z'
'y,x,z'
'x,-y,z'
'-y,-x,z'
loop_
_atom_site_label
_atom_site_type_symbol
_atom_site_fract_x
_atom_site_fract_y
_atom_site_fract_z
Sr1 Sr 0.000 0.000 0.000
Hg1 Hg 0.000 0.000 0.544
Hg2 Hg 0.500 0.500 0.285
Mo1 Mo 0.500 0.500 0.686
# Total moment ... 2.24 μB/f.u.
# N(E_F) ... 0.76 states/eV/atom
# Calculated volume ... 25.968 Å³/atom
# E ... -2.800 eV per atom
# Calculated formation energy ... 479 meV per atom

---

# SrHg4Mo | Alexandria via LeMat-Bulk | PBE-GGA | relaxed
data_SrHg4Mo
_cell_length_a 8.405
_cell_length_b 8.405
_cell_length_c 8.405
_cell_angle_alpha 90.00
_cell_angle_beta 90.00
_cell_angle_gamma 90.00
_space_group_name_H-M_alt 'F -4 3 m'
_space_group_IT_number 216
_space_group_name_Hall 'F -4 2 3'
loop_
_atom_site_label
_atom_site_type_symbol
_atom_site_fract_x
_atom_site_fract_y
_atom_site_fract_z
Sr1 Sr 0.000 0.000 0.000
Hg1 Hg 0.124 0.124 0.624
Mo1 Mo 0.250 0.250 0.250
# Total moment ... 3.78 μB/f.u.
# N(E_F) ... 0.50 states/eV/atom
# Calculated volume ... 24.741 Å³/atom
# E ... -1.940 eV per atom
# Calculated formation energy ... 346 meV per atom

---

# SrHg3Mo | Alexandria via LeMat-Bulk | PBE-GGA | relaxed
data_SrHg3Mo
_cell_length_a 6.092
_cell_length_b 6.092
_cell_length_c 6.092
_cell_angle_alpha 90.00
_cell_angle_beta 90.00
_cell_angle_gamma 90.00
_space_group_name_H-M_alt 'P m -3 m'
_space_group_IT_number 221
_space_group_name_Hall '-P 4 2 3'
loop_
_atom_site_label
_atom_site_type_symbol
_atom_site_fract_x
_atom_site_fract_y
_atom_site_fract_z
Sr1 Sr 0.000 0.000 0.000
Hg1 Hg 0.000 0.000 0.500
Mo1 Mo 0.500 0.500 0.500
# Total moment ... 4.85 μB/f.u.
# N(E_F) ... 0.57 states/eV/atom
# Calculated volume ... 45.214 Å³/atom
# E ... -1.497 eV per atom
# Calculated formation energy ... 1187 meV per atom

---

# SrHg2Mo | Alexandria via LeMat-Bulk | PBE-GGA | relaxed
data_SrHg2Mo
_cell_length_a 7.395
_cell_length_b 7.395
_cell_length_c 7.395
_cell_angle_alpha 90.00
_cell_angle_beta 90.00
_cell_angle_gamma 90.00
_space_group_name_H-M_alt 'F -4 3 m'
_space_group_IT_number 216
_space_group_name_Hall 'F -4 2 3'
loop_
_atom_site_label
_atom_site_type_symbol
_atom_site_fract_x
_atom_site_fract_y
_atom_site_fract_z
Sr1 Sr 0.000 0.000 0.000
Hg1 Hg 0.000 0.000 0.500
Hg2 Hg 0.250 0.250 0.250
Mo1 Mo 0.250 0.250 0.750
# Total moment ... 3.97 μB/f.u.
# N(E_F) ... 0.38 states/eV/atom
# Calculated volume ... 25.273 Å³/atom
# E ... -2.691 eV per atom
# Calculated formation energy ... 588 meV per atom

---

# SrHg2Mo | Alexandria via LeMat-Bulk | PBE-GGA | relaxed
data_SrHg2Mo
_cell_length_a 4.7982
_cell_length_b 4.7982
_cell_length_c 16.5129
_cell_angle_alpha 90.00
_cell_angle_beta 90.00
_cell_angle_gamma 120.00
_space_group_name_H-M_alt 'R -3 m'
_space_group_IT_number 166
_space_group_name_Hall '-R 3 2"'
loop_
_atom_site_label
_atom_site_type_symbol
_atom_site_fract_x
_atom_site_fract_y
_atom_site_fract_z
Sr1 Sr 0.0000 0.0000 0.0000
Hg1 Hg 0.0000 0.0000 0.2133
Mo1 Mo 0.0000 0.0000 0.5000
# Total moment ... 2.63 μB/f.u.
# N(E_F) ... 0.68 states/eV/atom
# Calculated volume ... 27.436 Å³/atom
# E ... -2.930 eV per atom
# Calculated formation energy ... 349 meV per atom

---

# SrHg2Mo | Alexandria via LeMat-Bulk | PBE-GGA | relaxed
data_SrHg2Mo
_cell_length_a 5.082
_cell_length_b 5.082
_cell_length_c 19.265
_cell_angle_alpha 90.00
_cell_angle_beta 90.00
_cell_angle_gamma 90.00
_space_group_name_H-M_alt 'I -4 2 d'
_space_group_IT_number 122
_space_group_name_Hall 'I -4 2bw'
loop_
_atom_site_label
_atom_site_type_symbol
_atom_site_fract_x
_atom_site_fract_y
_atom_site_fract_z
Sr1 Sr 0.000 0.000 0.000
Hg1 Hg 0.148 0.250 0.625
Mo1 Mo 0.000 0.000 0.500
# Total moment ... 2.72 μB/f.u.
# N(E_F) ... 0.89 states/eV/atom
# Calculated volume ... 31.103 Å³/atom
# E ... -2.618 eV per atom
# Calculated formation energy ... 661 meV per atom

---

# SrHg2Mo | Alexandria via LeMat-Bulk | PBE-GGA | relaxed
data_SrHg2Mo
_cell_length_a 7.379
_cell_length_b 7.379
_cell_length_c 7.379
_cell_angle_alpha 90.00
_cell_angle_beta 90.00
_cell_angle_gamma 90.00
_space_group_name_H-M_alt 'F m -3 m'
_space_group_IT_number 225
_space_group_name_Hall '-F 4 2 3'
loop_
_atom_site_label
_atom_site_type_symbol
_atom_site_fract_x
_atom_site_fract_y
_atom_site_fract_z
Sr1 Sr 0.000 0.000 0.000
Hg1 Hg 0.250 0.250 0.250
Mo1 Mo 0.000 0.000 0.500
# Total moment ... 3.38 μB/f.u.
# N(E_F) ... 0.91 states/eV/atom
# Calculated volume ... 25.115 Å³/atom
# E ... -2.870 eV per atom
# Calculated formation energy ... 409 meV per atom

---

# SrHg2Mo | Alexandria via LeMat-Bulk | PBE-GGA | relaxed
data_SrHg2Mo
_cell_length_a 3.2755
_cell_length_b 3.2755
_cell_length_c 30.9534
_cell_angle_alpha 90.00
_cell_angle_beta 90.00
_cell_angle_gamma 120.00
_space_group_name_H-M_alt 'R 3 m'
_space_group_IT_number 160
_space_group_name_Hall 'R 3 -2"'
loop_
_atom_site_label
_atom_site_type_symbol
_atom_site_fract_x
_atom_site_fract_y
_atom_site_fract_z
Sr1 Sr 0.0000 0.0000 0.0000
Hg1 Hg 0.0000 0.0000 0.5115
Hg2 Hg 0.0000 0.0000 0.7593
Mo1 Mo 0.0000 0.0000 0.2499
# Total moment ... 0.00 μB/f.u.
# N(E_F) ... 0.52 states/eV/atom
# Calculated volume ... 23.968 Å³/atom
# E ... -2.627 eV per atom
# Calculated formation energy ... 652 meV per atom

---

# SrHg2Mo | Alexandria via LeMat-Bulk | PBE-GGA | relaxed
data_SrHg2Mo
_cell_length_a 3.158
_cell_length_b 3.158
_cell_length_c 9.405
_cell_angle_alpha 90.00
_cell_angle_beta 90.00
_cell_angle_gamma 90.00
_space_group_name_H-M_alt 'P 4 m m'
_space_group_IT_number 99
loop_
_space_group_symop_operation_xyz
'x,y,z'
'-y,x,z'
'-x,-y,z'
'y,-x,z'
'-x,y,z'
'y,x,z'
'x,-y,z'
'-y,-x,z'
loop_
_atom_site_label
_atom_site_type_symbol
_atom_site_fract_x
_atom_site_fract_y
_atom_site_fract_z
Sr1 Sr 0.000 0.000 0.000
Hg1 Hg 0.000 0.000 0.528
Hg2 Hg 0.500 0.500 0.273
Mo1 Mo 0.500 0.500 0.731
# Total moment ... 0.00 μB/f.u.
# N(E_F) ... 0.75 states/eV/atom
# Calculated volume ... 23.447 Å³/atom
# E ... -2.769 eV per atom
# Calculated formation energy ... 511 meV per atom